CaHgSb2: relaxed, PBE.

Space group ... No. 160
N(E_F) ... 3.8 states/eV/f.u.
E_form (uncorrected) ... -0.194 eV per atom
E_tot ... -2.83 eV/atom
Calculated density ... 6553 kg/m3

abc: 4.132 4.132 24.898
angles: 90.00 90.00 120.00
Sites, in units of the cell vectors:
Ca: 0.000 0.000 0.000
Ca: 0.333 0.667 0.667
Ca: 0.667 0.333 0.333
Hg: 0.000 0.000 0.751
Hg: 0.333 0.667 0.417
Hg: 0.667 0.333 0.084
Sb: 0.000 0.000 0.243
Sb: 0.000 0.000 0.503
Sb: 0.333 0.667 0.170
Sb: 0.333 0.667 0.909
Sb: 0.667 0.333 0.576
Sb: 0.667 0.333 0.837